Entry 1:
Th4Si3Ir: optimized geometry, GGA-PBE.

Cell and atoms, written as POSCAR:
```
Th4Si3Ir
1.0
-1.454 4.001 0.410
-0.058 -0.441 4.100
10.307 3.689 0.542
Th Ir Si
4 1 3
Direct
0.500 0.000 0.640
0.000 0.000 0.139
0.000 0.500 0.859
0.500 0.500 0.356
0.500 0.500 0.075
0.000 0.500 0.577
0.500 0.000 0.928
0.000 0.000 0.426
```

## Properties
Formation energy (no corrections) (eV per formula unit): -5.916
SG: Pmm2 (25)
Calculated density (g cm⁻³): 10.349
N(E_F) (states/eV/cell): 8.421
Uncorrected energy (eV per atom): -7.591

Entry 2:
TaAg2Ir: optimized geometry, GGA-PBE.

Cell and atoms, written as POSCAR:
```
TaAg2Ir
1.0
-2.193 1.491 3.698
-3.844 2.395 -0.445
-3.984 -1.852 1.184
Ta Ag Ir
1 2 1
Direct
0.000 0.000 0.000
0.750 0.750 0.750
0.250 0.250 0.250
0.500 0.500 0.500
```

## Properties
SG: Fm-3m (225)
Energy of formation (eV per atom): 0.504
Energy above the most stable polymorph in this dataset (meV per atom): 479
Calculated density (g cm⁻³): 14.677
N(E_F) (states/eV/cell): 6.273
Uncorrected energy (eV per atom): -6.100

Entry 3:
Dy2AgRu: optimized geometry, GGA-PBE.

Cell and atoms, written as POSCAR:
```
Dy2AgRu
1.0
-4.548 1.818 -0.670
-3.907 -3.059 0.024
-1.451 -2.099 4.234
Ag Dy Ru
1 2 1
Direct
0.750 0.500 0.250
0.500 0.000 0.500
0.000 0.000 0.000
0.250 0.500 0.750
```

## Properties
SG: Fmmm (69)
Energy of formation (eV per atom): -0.356
Calculated density (g cm⁻³): 10.290
N(E_F) (states/eV/cell): 3.380
Uncorrected energy (eV per atom): -5.689

Entry 4:
NaTeAsRh2: optimized geometry, GGA-PBE.

Cell and atoms, written as POSCAR:
```
NaTeAsRh2
1.0
-1.704 3.060 3.399
-4.956 -1.624 -1.023
0.450 -3.498 3.374
Rh As Te Na
2 1 1 1
Direct
0.000 0.000 0.500
0.500 0.000 0.000
0.500 0.500 0.500
0.000 0.000 0.000
0.000 0.500 0.000
```

## Properties
Formation energy (no corrections) (eV per formula unit): 3.603
SG: P4/mmm (123)
Calculated density (g cm⁻³): 5.657
N(E_F) (states/eV/cell): 6.514
Uncorrected energy (eV per atom): -4.042

Entry 5:
UPdSe4: optimized geometry, GGA-PBE.

Cell and atoms, written as POSCAR:
```
UPdSe4
1.0
3.980 0.000 0.000
0.000 5.871 -0.347
0.000 -0.295 6.741
Se U Pd
4 1 1
Direct
0.500 0.170 0.253
0.500 0.830 0.747
0.000 0.654 0.230
0.000 0.346 0.770
0.000 0.000 0.000
0.500 0.500 0.000
```

## Properties
Formation energy (no corrections) (eV per formula unit): -4.342
SG: P2/m (10)
Energy above the most stable polymorph in this dataset (meV per atom): 0
Calculated density (g cm⁻³): 6.978
N(E_F) (states/eV/cell): 4.025
Uncorrected energy (eV per atom): -5.794

Entry 6:
HoErTcPd: optimized geometry, GGA-PBE.

Cell and atoms, written as POSCAR:
```
HoErTcPd
1.0
-4.158 1.344 -2.108
-4.241 -1.415 1.881
-2.888 3.234 2.176
Pd Tc Er Ho
1 1 1 1
Direct
0.000 0.000 0.000
0.500 0.500 0.500
0.750 0.750 0.750
0.250 0.250 0.250
```

## Properties
SG: F-43m (216)
Energy of formation (eV per atom): -0.409
Calculated density (g cm⁻³): 11.038
N(E_F) (states/eV/cell): 3.687
Uncorrected energy (eV per atom): -6.584